Record 1
Gd2HfNi | PBE-GGA | optimized geometry

E: -11.024 eV per atom
calculated density: 9.87 g cm⁻³
ΔE to the lowest computed polymorph: 0 meV/atom
size of the total moment: 14.31 Bohr magnetons per cell

abc: 3.4175 3.4175 7.9473
angles: 90.00 90.00 90.00
Sites, in units of the cell vectors:
Ni 0.5000 0.5000 0.0000
Gd 0.0000 0.0000 0.7892
Gd 0.0000 0.0000 0.2108
Hf 0.5000 0.5000 0.5000


Record 2
GdHf2Ni | PBE-GGA | optimized geometry

E: -10.010 eV per atom
calculated density: 11.42 g cm⁻³
size of the total moment: 7.01 Bohr magnetons per cell

abc: 3.2624 3.2624 7.8281
angles: 90.00 90.00 90.00
Sites, in units of the cell vectors:
Ni 0.5000 0.5000 0.0000
Gd 0.5000 0.5000 0.5000
Hf 0.0000 0.0000 0.8049
Hf 0.0000 0.0000 0.1951


Record 3
GdHfNiRu | PBE-GGA | optimized geometry

E: -10.154 eV per atom
calculated density: 11.26 g cm⁻³
size of the total moment: 7.15 Bohr magnetons per cell

abc: 4.6926 4.6926 4.6926
angles: 60.00 60.00 60.00
Sites, in units of the cell vectors:
Ru 0.2500 0.2500 0.2500
Gd 0.5000 0.5000 0.5000
Hf 0.0000 0.0000 0.0000
Ni 0.7500 0.7500 0.7500


Record 4
GdHfTcNi | PBE-GGA | optimized geometry

E: -10.285 eV per atom
calculated density: 11.18 g cm⁻³
size of the total moment: 7.03 Bohr magnetons per cell

abc: 4.6946 4.6946 4.6946
angles: 60.00 60.00 60.00
Sites, in units of the cell vectors:
Ni 0.2500 0.2500 0.2500
Gd 0.0000 0.0000 0.0000
Hf 0.5000 0.5000 0.5000
Tc 0.7500 0.7500 0.7500